(1)
Density functional theory data (PBE) for an optimized crystal structure of ErPuThIn.

Summary:
Its total moment is 1.65 μB per atom. As for the density of states at the Fermi level: 11.05 states/eV per cell. As for the energy of formation from the pure elements: 0.0517 eV/atom.

a b c (Å): 5.3925 5.3925 5.3925
angles (deg): 60.00 60.00 60.00
Element x y z (fractional)
Er  0.0000  0.0000  0.0000
Pu  0.5000  0.5000  0.5000
Th  0.2500  0.2500  0.2500
In  0.7500  0.7500  0.7500



(2)
Density functional theory data (PBE) for an optimized crystal structure of TbPaPb.

Summary:
Its total moment is 0.43 μB per atom. As for the density of states at the Fermi level: 6.10 states/eV per cell. As for the energy of formation from the pure elements: 0.3139 eV/atom. As for the polymorph energy (0 for the lowest one): 334 meV/atom.

a b c (Å): 5.4249 5.4249 3.2120
angles (deg): 90.00 90.00 120.00
Element x y z (fractional)
Tb  0.0000  0.0000  0.0000
Pa  0.3333  0.6667  0.9962
Pb  0.6667  0.3333  0.4957



(3)
Density functional theory data (PBE) for an optimized crystal structure of LiAgSn2.

Summary:
Its total moment is 0.00 μB per atom. As for the density of states at the Fermi level: 2.86 states/eV per cell. As for the energy of formation from the pure elements: -0.1278 eV/atom. As for the polymorph energy (0 for the lowest one): 21 meV/atom.

a b c (Å): 5.9721 4.4417 7.1181
angles (deg): 90.00 113.54 90.00
Element x y z (fractional)
Li  0.2220  0.2500  0.1551
Li  0.7780  0.7500  0.8449
Ag  0.4233  0.2500  0.6160
Ag  0.5767  0.7500  0.3840
Sn  0.0826  0.7500  0.3687
Sn  0.3077  0.7500  0.9039
Sn  0.6923  0.2500  0.0961
Sn  0.9174  0.2500  0.6313



(4)
Density functional theory data (PBE) for an optimized crystal structure of K3Cd2Ag5.

Summary:
Its total moment is 0.00 μB per atom. As for the density of states at the Fermi level: 4.62 states/eV per cell. As for the energy of formation from the pure elements: 0.0312 eV/atom.

a b c (Å): 12.4661 12.4661 5.9730
angles (deg): 103.84 103.84 134.45
Element x y z (fractional)
K  0.0000  0.0000  0.2500
K  0.0000  0.0000  0.7500
K  0.1272  0.5756  0.8514
K  0.4244  0.8728  0.6486
K  0.5756  0.1272  0.3514
K  0.8728  0.4244  0.1486
Cd  0.2164  0.4235  0.3200
Cd  0.4235  0.2164  0.8200
Cd  0.5765  0.7836  0.1800
Cd  0.7836  0.5765  0.6800
Ag  0.1401  0.8599  0.2500
Ag  0.1400  0.8600  0.7500
Ag  0.2118  0.3877  0.7998
Ag  0.3877  0.2118  0.2998
Ag  0.5000  0.5000  0.2500
Ag  0.5000  0.5000  0.7500
Ag  0.6123  0.7882  0.7002
Ag  0.7882  0.6123  0.2002
Ag  0.8600  0.1400  0.2500
Ag  0.8599  0.1401  0.7500



(5)
Density functional theory data (PBE) for an optimized crystal structure of ZrNb4Tc5.

Summary:
Its total moment is 0.00 μB per atom. As for the density of states at the Fermi level: 4.69 states/eV per cell. As for the energy of formation from the pure elements: -0.3623 eV/atom.

a b c (Å): 3.2098 3.2098 16.1088
angles (deg): 90.00 90.00 90.00
Element x y z (fractional)
Zr  0.0000  0.0000  0.0000
Nb  0.0000  0.0000  0.2020
Nb  0.0000  0.0000  0.4008
Nb  0.0000  0.0000  0.5992
Nb  0.0000  0.0000  0.7980
Tc  0.5000  0.5000  0.1070
Tc  0.5000  0.5000  0.3032
Tc  0.5000  0.5000  0.5000
Tc  0.5000  0.5000  0.6968
Tc  0.5000  0.5000  0.8930



(6)
Density functional theory data (PBE) for an optimized crystal structure of PuPaBi2.

Summary:
Its total moment is 1.75 μB per atom. As for the density of states at the Fermi level: 15.79 states/eV per cell. As for the energy of formation from the pure elements: -0.2177 eV/atom. As for the polymorph energy (0 for the lowest one): 4 meV/atom.

a b c (Å): 5.4468 5.4468 5.4468
angles (deg): 60.00 60.00 60.00
Element x y z (fractional)
Pu  0.0000  0.0000  0.0000
Pa  0.5000  0.5000  0.5000
Bi  0.2500  0.2500  0.2500
Bi  0.7500  0.7500  0.7500



(7)
Density functional theory data (PBE) for an optimized crystal structure of YGaCo2.

Summary:
Its total moment is 0.37 μB per atom. As for the density of states at the Fermi level: 5.68 states/eV per cell. As for the energy of formation from the pure elements: 0.0447 eV/atom.

a b c (Å): 8.7724 8.7724 8.7724
angles (deg): 151.68 151.68 40.48
Element x y z (fractional)
Y  0.0000  0.0000  0.0000
Y  0.7500  0.2500  0.5000
Ga  0.2500  0.7500  0.5000
Ga  0.5000  0.5000  0.0000
Co  0.2989  0.6250  0.1739
Co  0.3750  0.5489  0.6739
Co  0.4511  0.1250  0.8261
Co  0.8750  0.7011  0.3261



(8)
Density functional theory data (PBE) for an optimized crystal structure of Na4CaAu5.

Summary:
Its total moment is 0.00 μB per atom. As for the density of states at the Fermi level: 2.56 states/eV per cell. As for the energy of formation from the pure elements: -0.3890 eV/atom.

a b c (Å): 3.6222 3.6222 16.8568
angles (deg): 90.00 90.00 90.00
Element x y z (fractional)
Na  0.0000  0.0000  0.0969
Na  0.0000  0.0000  0.2895
Na  0.0000  0.0000  0.7105
Na  0.0000  0.0000  0.9031
Ca  0.0000  0.0000  0.5000
Au  0.5000  0.5000  0.0000
Au  0.5000  0.5000  0.1944
Au  0.5000  0.5000  0.3942
Au  0.5000  0.5000  0.6058
Au  0.5000  0.5000  0.8056



(9)
Density functional theory data (PBE) for an optimized crystal structure of Ac3AgTe2.

Summary:
Its total moment is 0.00 μB per atom. As for the density of states at the Fermi level: 5.05 states/eV per cell. The uncorrected formation energy comes out at -544 kJ/mol of formula units.

a b c (Å): 5.6281 4.0517 9.1137
angles (deg): 90.00 107.74 90.00
Element x y z (fractional)
Ac  0.0000  0.0000  0.0000
Ac  0.3332  0.0000  0.6672
Ac  0.6668  0.0000  0.3328
Ag  0.5000  0.5000  0.0000
Te  0.1667  0.5000  0.3316
Te  0.8333  0.5000  0.6684



(10)
Density functional theory data (PBE) for an optimized crystal structure of Cs2KCeCl6.

Summary:
Its total moment is 0.10 μB per atom. As for the density of states at the Fermi level: 0.00 states/eV per cell. The uncorrected formation energy comes out at -2028 kJ/mol of formula units.

a b c (Å): 8.1722 8.1722 8.1722
angles (deg): 60.00 60.00 60.00
Element x y z (fractional)
Cs  0.2500  0.2500  0.2500
Cs  0.7500  0.7500  0.7500
K  0.0000  0.0000  0.0000
Ce  0.5000  0.5000  0.5000
Cl  0.2621  0.2621  0.7379
Cl  0.2621  0.7379  0.2621
Cl  0.2621  0.7379  0.7379
Cl  0.7379  0.2621  0.2621
Cl  0.7379  0.2621  0.7379
Cl  0.7379  0.7379  0.2621